(1)
! RuW3S | Alexandria | GGA-PBE | relaxed; values from VASP
&SYSTEM
  ibrav = 0, nat = 5, ntyp = 3
/
ATOMIC_SPECIES
W 183.84 W.upf
Ru 101.07 Ru.upf
S 32.06 S.upf
ATOMIC_POSITIONS crystal
W 0.0000 0.5000 0.0000
W 0.0000 0.0000 0.5000
W 0.5000 0.0000 0.0000
Ru 0.0000 0.0000 0.0000
S 0.5000 0.5000 0.5000
CELL_PARAMETERS angstrom
4.7167 0.0000 0.0000
0.0000 4.7167 0.0000
0.0000 0.0000 4.7167
! Formation energy (no corrections): 2184 meV/atom
! Space group: Pm-3m
! Magnetization: 0.000 μB/cell
! Calculated density: 10.8 g/cm3
! Calculated total energy: -41.343 eV per cell
! Energy above the lowest structure with this stoichiometry: 5.89 eV/f.u.

***

(2)
! LiTh2Si3Ni12 | Alexandria | GGA-PBE | relaxed; values from VASP
&SYSTEM
  ibrav = 0, nat = 18, ntyp = 4
/
ATOMIC_SPECIES
Si 28.09 Si.upf
Th 232.04 Th.upf
Ni 58.69 Ni.upf
Li 6.94 Li.upf
ATOMIC_POSITIONS crystal
Si 0.0000 0.0000 0.5000
Si 0.0000 0.5000 0.0000
Si 0.5000 0.0000 0.0000
Th 0.6536 0.6536 0.6536
Th 0.3464 0.3464 0.3464
Ni 0.1869 0.7046 0.1869
Ni 0.8131 0.2954 0.8131
Ni 0.0950 0.6180 0.6180
Ni 0.6180 0.0950 0.6180
Ni 0.1869 0.1869 0.7046
Ni 0.8131 0.8131 0.2954
Ni 0.6180 0.6180 0.0950
Ni 0.3820 0.3820 0.9050
Ni 0.9050 0.3820 0.3820
Ni 0.7046 0.1869 0.1869
Ni 0.2954 0.8131 0.8131
Ni 0.3820 0.9050 0.3820
Li 0.0000 0.0000 0.0000
CELL_PARAMETERS angstrom
-1.3577 -3.9250 4.7447
5.9136 -0.5700 2.1131
-0.4438 4.4493 4.4461
! Formation energy (no corrections): -224 meV/atom
! Space group: R-3m
! Magnetization: 0.000 μB/cell
! Calculated density: 8.5 g/cm3
! Calculated total energy: -106.424 eV per cell

***

(3)
! TaP2S2 | Alexandria | GGA-PBE | relaxed; values from VASP
&SYSTEM
  ibrav = 0, nat = 5, ntyp = 3
/
ATOMIC_SPECIES
P 30.97 P.upf
S 32.06 S.upf
Ta 180.95 Ta.upf
ATOMIC_POSITIONS crystal
P 0.3528 0.3528 0.2944
P 0.6472 0.6472 0.7056
S 0.2500 0.7500 0.5000
S 0.7500 0.2500 0.5000
Ta 0.0000 0.0000 0.0000
CELL_PARAMETERS angstrom
-3.0870 1.7436 3.2846
2.4712 -2.2282 3.5052
1.7014 2.5909 3.7794
! Formation energy (no corrections): 649 meV/atom
! Space group: I4/mmm
! Magnetization: 0.000 μB/cell
! Calculated density: 6.2 g/cm3
! Calculated total energy: -27.683 eV per cell
! Energy above the lowest structure with this stoichiometry: 1.91 eV/f.u.

***

(4)
! LiTb5Nd4 | Alexandria | GGA-PBE | relaxed; values from VASP
&SYSTEM
  ibrav = 0, nat = 10, ntyp = 3
/
ATOMIC_SPECIES
Tb 158.93 Tb.upf
Nd 144.24 Nd.upf
Li 6.94 Li.upf
ATOMIC_POSITIONS crystal
Tb 0.5000 0.5000 0.9198
Tb 0.5000 0.5000 0.0802
Tb 0.5000 0.5000 0.7108
Tb 0.5000 0.5000 0.5000
Tb 0.5000 0.5000 0.2892
Nd 0.0000 0.0000 0.8162
Nd 0.0000 0.0000 0.6053
Nd 0.0000 0.0000 0.1838
Nd 0.0000 0.0000 0.3947
Li 0.0000 0.0000 0.0000
CELL_PARAMETERS angstrom
3.6402 0.0000 0.0000
0.0000 3.6402 0.0000
0.0000 0.0000 24.1652
! Space group: P4/mmm
! Magnetization: 0.000 μB/cell
! E_form: 0.037 eV per atom
! Calculated density: 7.1 g/cm3
! Calculated total energy: -43.767 eV per cell

***

(5)
! SeBr3N | Alexandria | GGA-PBE | relaxed; values from VASP
&SYSTEM
  ibrav = 0, nat = 5, ntyp = 3
/
ATOMIC_SPECIES
Br 79.90 Br.upf
N 14.01 N.upf
Se 78.96 Se.upf
ATOMIC_POSITIONS crystal
Br 0.5000 0.0000 0.0000
Br 0.0000 0.5000 0.0000
Br 0.0000 0.0000 0.5000
N 0.0000 0.0000 0.0000
Se 0.5000 0.5000 0.5000
CELL_PARAMETERS angstrom
-0.4507 -2.8884 3.6991
1.6795 -3.5693 -2.5824
4.3824 1.0708 1.3701
! Formation energy (no corrections): 1233 meV/atom
! Space group: Pm-3m
! Magnetization: 0.000 μB/cell
! Calculated density: 5.3 g/cm3
! Calculated total energy: -10.666 eV per cell
! Energy above the lowest structure with this stoichiometry: 4.18 eV/f.u.

***

(6)
! Er5SbS5 | Alexandria | GGA-PBE | relaxed; values from VASP
&SYSTEM
  ibrav = 0, nat = 11, ntyp = 3
/
ATOMIC_SPECIES
S 32.06 S.upf
Er 167.26 Er.upf
Sb 121.76 Sb.upf
ATOMIC_POSITIONS crystal
S 0.0000 0.0000 0.5000
S 0.6732 0.3464 0.8421
S 0.6654 0.3308 0.3325
S 0.3346 0.6692 0.6675
S 0.3268 0.6536 0.1579
Er 0.1676 0.3353 0.8175
Er 0.5000 0.0000 0.0000
Er 0.8287 0.6574 0.6505
Er 0.1713 0.3426 0.3495
Er 0.8324 0.6647 0.1825
Sb 0.0000 0.0000 0.0000
CELL_PARAMETERS angstrom
5.6406 0.0000 0.0000
-2.8203 5.8246 -2.2103
0.0000 0.3274 7.9518
! Formation energy (no corrections): -1806 meV/atom
! Space group: C2/m
! Magnetization: 0.000 μB/cell
! Calculated density: 7.0 g/cm3
! Calculated total energy: -67.437 eV per cell

***

(7)
! CaP3Rh4 | Alexandria | GGA-PBE | relaxed; values from VASP
&SYSTEM
  ibrav = 0, nat = 8, ntyp = 3
/
ATOMIC_SPECIES
Rh 102.91 Rh.upf
P 30.97 P.upf
Ca 40.08 Ca.upf
ATOMIC_POSITIONS crystal
Rh 0.0000 0.5000 0.8158
Rh 0.5000 0.0000 0.8158
Rh 0.5000 0.0000 0.1842
Rh 0.0000 0.5000 0.1842
P 0.5000 0.5000 0.3484
P 0.0000 0.0000 0.0000
P 0.5000 0.5000 0.6516
Ca 0.0000 0.0000 0.5000
CELL_PARAMETERS angstrom
3.9967 0.0000 0.0000
0.0000 3.9967 0.0000
0.0000 0.0000 7.6498
! Space group: P4/mmm
! Magnetization: 0.000 μB/cell
! E_form: -0.900 eV per atom
! Calculated density: 7.4 g/cm3
! Calculated total energy: -54.840 eV per cell

***

(8)
! Ce3Pm2Te8 | Alexandria | GGA-PBE | relaxed; values from VASP
&SYSTEM
  ibrav = 0, nat = 13, ntyp = 3
/
ATOMIC_SPECIES
Ce 140.12 Ce.upf
Pm 145.00 Pm.upf
Te 127.60 Te.upf
ATOMIC_POSITIONS crystal
Ce 0.0000 0.2693 0.9999
Ce 0.0000 0.7307 0.0001
Ce 0.5000 0.0000 0.0000
Pm 0.5000 0.2664 0.5328
Pm 0.5000 0.7336 0.4672
Te 0.5000 0.3623 0.2478
Te 0.0000 0.8842 0.7684
Te 0.5000 0.6377 0.7522
Te 0.5000 0.8856 0.2479
Te 0.5000 0.1144 0.7521
Te 0.0000 0.1158 0.2316
Te 0.0000 0.6297 0.2595
Te 0.0000 0.3703 0.7405
CELL_PARAMETERS angstrom
-0.7798 2.6494 -4.6902
-10.4270 -2.6012 0.2642
3.7047 7.7361 3.7538
! Formation energy (no corrections): -1239 meV/atom
! Space group: Cmmm
! Magnetization: 2.016 μB/cell
! Calculated density: 6.4 g/cm3
! Calculated total energy: -68.546 eV per cell

***

(9)
! CaScFe2 | Alexandria | GGA-PBE | relaxed; values from VASP
&SYSTEM
  ibrav = 0, nat = 4, ntyp = 3
/
ATOMIC_SPECIES
Fe 55.84 Fe.upf
Ca 40.08 Ca.upf
Sc 44.96 Sc.upf
ATOMIC_POSITIONS crystal
Fe 0.5065 0.5065 0.5065
Fe 0.9935 0.9935 0.9935
Ca 0.7500 0.7500 0.7500
Sc 0.2500 0.2500 0.2500
CELL_PARAMETERS angstrom
-3.3327 4.3475 -7.1759
-5.9492 4.0673 -5.4374
-3.9573 6.4561 -4.9152
! Space group: R-3m
! Magnetization: 3.858 μB/cell
! E_form: 0.600 eV per atom
! Calculated density: 4.3 g/cm3
! Calculated total energy: -22.860 eV per cell

***

(10)
! PrTcP2 | Alexandria | GGA-PBE | relaxed; values from VASP
&SYSTEM
  ibrav = 0, nat = 4, ntyp = 3
/
ATOMIC_SPECIES
P 30.97 P.upf
Pr 140.91 Pr.upf
Tc 98.00 Tc.upf
ATOMIC_POSITIONS crystal
P 0.5856 0.2454 0.9566
P 0.8571 0.5168 0.4997
Pr 0.2214 0.8810 0.2282
Tc 0.4711 0.6314 0.7282
CELL_PARAMETERS angstrom
-0.1164 3.1945 2.3415
-2.8887 -1.6705 2.1369
5.0574 -2.9195 0.8861
! Space group: I-4m2
! Magnetization: 0.000 μB/cell
! E_form: -0.675 eV per atom
! Calculated density: 6.1 g/cm3
! Calculated total energy: -28.665 eV per cell
! Energy above the lowest structure with this stoichiometry: 0.71 eV/f.u.

***

Question: Which value of calculated density does entry 2 give?
Answer: 8.5 g/cm3

***

Question: The lowest calculated total energy belongs to which entry?
Answer: LiTh2Si3Ni12

***

Question: Which value of magnetization does entry 7 give?
Answer: 0.000 μB/cell

***

Question: calculated density of number 9 (CaScFe2)?
Answer: 4.3 g/cm3